1.
The following is a DFT calculation (GGA-PBE) of LiLaNdZn after structural relaxation.

POSCAR file:
```
LiLaNdZn
1.0
3.8208 0.0000 0.0000
0.0000 3.8208 0.0000
0.0000 0.0000 7.4728
Li La Nd Zn
1 1 1 1
Direct
0.0000 0.0000 0.0000
0.5000 0.5000 0.2795
0.5000 0.5000 0.7360
0.0000 0.0000 0.5157
```

Space group: P4mm
E (eV/atom): -3.34
Magnetization (μB/f.u.): 0.00

=====

2.
The following is a DFT calculation (GGA-PBE) of Rb2AsS4 after structural relaxation.

POSCAR file:
```
Rb2AsS4
1.0
-2.5000 2.5000 8.1740
2.5000 -2.5000 8.1740
2.5000 2.5000 -8.1740
Rb As S
2 1 4
Direct
0.1442 0.1442 0.0000
0.8558 0.8558 0.0000
0.5000 0.5000 0.0000
0.0000 0.5000 0.5000
0.3588 0.3588 0.0000
0.5000 0.0000 0.5000
0.6412 0.6412 0.0000
```

Space group: I4/mmm
E (eV/atom): -3.56
Magnetization (μB/f.u.): 1.43
ΔE_f (raw) (eV/f.u.): -1.79

=====

3.
The following is a DFT calculation (GGA-PBE) of NaReCl2 after structural relaxation.

POSCAR file:
```
NaReCl2
1.0
0.0000 3.2494 3.2494
3.2494 0.0000 3.2494
3.2494 3.2494 0.0000
Na Re Cl
1 1 2
Direct
0.0000 0.0000 0.0000
0.5000 0.5000 0.5000
0.2500 0.2500 0.2500
0.7500 0.7500 0.7500
```

Space group: Fm-3m
E (eV/atom): -3.83
Magnetization (μB/f.u.): 2.00
ΔE_f (raw) (eV/f.u.): 2.16

=====

4.
The following is a DFT calculation (GGA-PBE) of Cs4YEr3Te8 after structural relaxation.

POSCAR file:
```
Cs4YEr3Te8
1.0
4.5333 2.6173 8.9117
-4.5333 2.6173 8.9117
0.0000 -5.2346 8.9117
Cs Y Er Te
4 1 3 8
Direct
0.0000 0.0000 0.0000
0.0000 0.5000 0.5000
0.5000 0.0000 0.5000
0.5000 0.5000 0.0000
0.5000 0.5000 0.5000
0.0000 0.0000 0.5000
0.0000 0.5000 0.0000
0.5000 0.0000 0.0000
0.2277 0.7306 0.7306
0.2293 0.2293 0.2293
0.2694 0.2694 0.7723
0.2694 0.7723 0.2694
0.7306 0.2277 0.7306
0.7306 0.7306 0.2277
0.7707 0.7707 0.7707
0.7723 0.2694 0.2694
```

Space group: R-3m
E (eV/atom): -4.42
Magnetization (μB/f.u.): 0.00
ΔE_f (raw) (eV/f.u.): -22.04

=====

The highest E belongs to which entry?
LiLaNdZn

=====

The highest E belongs to which entry?
LiLaNdZn

=====

Number 4 is which compound?
Cs4YEr3Te8